VASP calculation (PBE-GGA) on a relaxed KAlN2 crystal.

The space group is Fm-3m (No. 225) and the conventional cell measures 5.869, 5.869 and 5.869 Å, with angles of 90.00, 90.00 and 90.00 degrees. The asymmetric unit holds K at (0.000, 0.000, 0.000), Al at (0.000, 0.000, 0.500) and N at (0.250, 0.250, 0.250).

The energy above the most stable polymorph in this dataset is 1377 meV per atom. The calculated density is 3.091 g/cm3. The value obtained for the calculated total energy is -4.084 eV per atom.